# Nd11In9Hg4 | Alexandria via LeMat-Bulk | GGA-PBE | optimized geometry
data_Nd11In9Hg4
_symmetry_space_group_name_H-M 'C m m m'
_symmetry_Int_Tables_number 65
_symmetry_space_group_name_Hall '-C 2 2'
_cell_length_a 15.3231
_cell_length_b 23.1266
_cell_length_c 3.8692
_cell_angle_alpha 90.00
_cell_angle_beta 90.00
_cell_angle_gamma 90.00
loop_
_atom_site_label
_atom_site_fract_x
_atom_site_fract_y
_atom_site_fract_z
Nd1 0.0000 0.0000 0.0000
Nd2 0.0000 0.1618 0.0000
Nd3 0.0000 0.3615 0.0000
Nd4 0.2137 0.5000 0.0000
Nd5 0.2343 0.1761 0.0000
In1 0.0000 0.5000 0.5000
In2 0.1054 0.2616 0.5000
In3 0.1368 0.0755 0.5000
Hg1 0.1509 0.4011 0.5000
# Energy = -0.137 Ha/atom
# ΔE_f = -1087 kJ/mol of formula units

***

# Tm6PdSe4 | Alexandria via LeMat-Bulk | GGA-PBE | optimized geometry
data_Tm6PdSe4
_symmetry_space_group_name_H-M 'C m c m'
_symmetry_Int_Tables_number 63
_symmetry_space_group_name_Hall '-C 2c 2'
_cell_length_a 3.9175
_cell_length_b 13.1351
_cell_length_c 20.5300
_cell_angle_alpha 90.00
_cell_angle_beta 90.00
_cell_angle_gamma 90.00
loop_
_atom_site_label
_atom_site_fract_x
_atom_site_fract_y
_atom_site_fract_z
Tm1 0.0000 0.0000 0.0000
Tm2 0.0000 0.1754 0.2500
Tm3 0.0000 0.2706 0.5974
Tm4 0.0000 0.4369 0.1686
Pd1 0.0000 0.1682 0.7500
Se1 0.0000 0.0815 0.1247
Se2 0.0000 0.3567 0.0364
# Formation energy from raw total energies = -1.407 eV per atom
# Energy = -0.205 Ha/atom

***

# La2Ga3Cu2 | Alexandria via LeMat-Bulk | GGA-PBE | optimized geometry
data_La2Ga3Cu2
_symmetry_space_group_name_H-M 'C 1 2/m 1'
_symmetry_Int_Tables_number 12
_symmetry_space_group_name_Hall '-C 2y'
_cell_length_a 10.4910
_cell_length_b 4.4611
_cell_length_c 6.6139
_cell_angle_alpha 90.00
_cell_angle_beta 110.55
_cell_angle_gamma 90.00
loop_
_atom_site_label
_atom_site_fract_x
_atom_site_fract_y
_atom_site_fract_z
La1 0.1549 0.0000 0.2771
Ga1 0.0000 0.5000 0.5000
Ga2 0.0992 0.5000 0.9225
Cu1 0.1488 0.0000 0.7733
# Energy above the lowest structure with this stoichiometry = 21 meV per atom
# Energy = -0.158 Ha/atom
# ΔE_f = -295 kJ/mol of formula units

***

# BaVPS2 | Alexandria via LeMat-Bulk | GGA-PBE | optimized geometry
data_BaVPS2
_symmetry_space_group_name_H-M 'P 4/m m m'
_symmetry_Int_Tables_number 123
_symmetry_space_group_name_Hall '-P 4 2'
_cell_length_a 4.8115
_cell_length_b 4.8115
_cell_length_c 4.6260
_cell_angle_alpha 90.00
_cell_angle_beta 90.00
_cell_angle_gamma 90.00
loop_
_atom_site_label
_atom_site_fract_x
_atom_site_fract_y
_atom_site_fract_z
Ba1 0.0000 0.0000 0.0000
V1 0.5000 0.5000 0.5000
P1 0.5000 0.5000 0.0000
S1 0.0000 0.5000 0.5000
# Formation energy from raw total energies = -0.931 eV per atom
# Energy above the lowest structure with this stoichiometry = 0 meV per atom
# Energy = -0.216 Ha/atom

***

# Cr2GaReN | Alexandria via LeMat-Bulk | GGA-PBE | optimized geometry
data_Cr2GaReN
_symmetry_space_group_name_H-M 'P 4/m m m'
_symmetry_Int_Tables_number 123
_symmetry_space_group_name_Hall '-P 4 2'
_cell_length_a 3.8657
_cell_length_b 3.8657
_cell_length_c 4.0109
_cell_angle_alpha 90.00
_cell_angle_beta 90.00
_cell_angle_gamma 90.00
loop_
_atom_site_label
_atom_site_fract_x
_atom_site_fract_y
_atom_site_fract_z
Cr1 0.0000 0.5000 0.0000
Ga1 0.0000 0.0000 0.5000
Re1 0.5000 0.5000 0.5000
N1 0.5000 0.5000 0.0000
# Formation energy from raw total energies = -0.085 eV per atom
# Energy = -0.320 Ha/atom

***

# SbAsSe2N | Alexandria via LeMat-Bulk | GGA-PBE | optimized geometry
data_SbAsSe2N
_symmetry_space_group_name_H-M 'P 4/m m m'
_symmetry_Int_Tables_number 123
_symmetry_space_group_name_Hall '-P 4 2'
_cell_length_a 5.3725
_cell_length_b 5.3725
_cell_length_c 3.8812
_cell_angle_alpha 90.00
_cell_angle_beta 90.00
_cell_angle_gamma 90.00
loop_
_atom_site_label
_atom_site_fract_x
_atom_site_fract_y
_atom_site_fract_z
Sb1 0.0000 0.0000 0.0000
As1 0.5000 0.5000 0.5000
Se1 0.0000 0.5000 0.0000
N1 0.0000 0.0000 0.5000
# Formation energy from raw total energies = 0.960 eV per atom
# Energy above the lowest structure with this stoichiometry = 286 meV per atom
# Energy = -0.142 Ha/atom

***

# Sm3DyRh | Alexandria via LeMat-Bulk | GGA-PBE | optimized geometry
data_Sm3DyRh
_symmetry_space_group_name_H-M 'P m -3 m'
_symmetry_Int_Tables_number 221
_symmetry_space_group_name_Hall '-P 4 2 3'
_cell_length_a 5.5100
_cell_length_b 5.5100
_cell_length_c 5.5100
_cell_angle_alpha 90.00
_cell_angle_beta 90.00
_cell_angle_gamma 90.00
loop_
_atom_site_label
_atom_site_fract_x
_atom_site_fract_y
_atom_site_fract_z
Sm1 0.0000 0.0000 0.5000
Dy1 0.5000 0.5000 0.5000
Rh1 0.0000 0.0000 0.0000
# Energy above the lowest structure with this stoichiometry = 221 meV per atom
# Energy = -0.197 Ha/atom
# ΔE_f = -66 kJ/mol of formula units

***

# La4FeBrCl2 | Alexandria via LeMat-Bulk | GGA-PBE | optimized geometry
data_La4FeBrCl2
_symmetry_space_group_name_H-M 'P 1 2/m 1'
_symmetry_Int_Tables_number 10
_symmetry_space_group_name_Hall '-P 2y'
_cell_length_a 7.3805
_cell_length_b 3.9997
_cell_length_c 7.9098
_cell_angle_alpha 90.00
_cell_angle_beta 107.62
_cell_angle_gamma 90.00
loop_
_atom_site_label
_atom_site_fract_x
_atom_site_fract_y
_atom_site_fract_z
La1 0.2089 0.0000 0.1998
La2 0.2512 0.5000 0.7804
Fe1 0.0000 0.5000 0.0000
Br1 0.0000 0.0000 0.5000
Cl1 0.5000 0.0000 0.0000
Cl2 0.5000 0.5000 0.5000
# Formation energy from raw total energies = -1.087 eV per atom
# Energy = -0.194 Ha/atom

***

- What is the formula in the eighth record?
  La4FeBrCl2

***

- What is the energy in the fifth record?
  -0.320 Ha/atom

***

- Which of these has the highest energy?
  Nd11In9Hg4

***

- Among the records above, which one has the highest energy?
  Nd11In9Hg4